1.
SrTlTc2 after structural relaxation, computed with GGA-PBE.

The calculation puts the offset from the most stable computed form at 774 meV/atom.

It has space group Fm-3m (No. 225), with a = 6.969 Å, b = 6.969 Å, c = 6.969 Å, α = 90.00°, β = 90.00° and γ = 90.00°. The distinct sites, in fractional coordinates, are Sr at (0.000, 0.000, 0.000), Tl at (0.000, 0.000, 0.500) and Tc at (0.250, 0.250, 0.250).

=====

2.
SrTlTc2 after structural relaxation, computed with GGA-PBE.

The calculation puts the offset from the most stable computed form at 719 meV/atom.

It has space group Pmmm (No. 47), with a = 3.594 Å, b = 4.776 Å, c = 4.794 Å, α = 90.00°, β = 90.00° and γ = 90.00°. The distinct sites, in fractional coordinates, are Sr at (0.000, 0.000, 0.000), Tl at (0.500, 0.000, 0.500), Tc at (0.000, 0.500, 0.500) and Tc at (0.500, 0.500, 0.000).

=====

no.,V (Å³ per atom),ΔH_f (0 K) (eV per atom),E_tot (eV per atom)
1,21.155,1.054,-5.141
2,20.574,0.999,-5.196